Entry 1:
{
  "formula": "FeReRu2",
  "functional": "PBE",
  "state": "relaxed",
  "cell": [[3.778, 0.000, 0.000], [0.000, 2.706, 0.006], [0.000, 2.700, 5.364]],
  "species": ["Ru", "Ru", "Re", "Fe"],
  "frac_coords": [[0.000, 0.993, 0.008], [0.000, 0.507, 0.492], [0.500, 0.750, 0.750], [0.500, 0.250, 0.250]],
  "mass_density_g_cm3": 13.46,
  "ef_ev_per_atom": 0.083,
  "space_group": "Pmmm (47)"
}

Entry 2:
{
  "formula": "AcCePrSn",
  "functional": "PBE",
  "state": "relaxed",
  "cell": [[-0.715, -0.039, 5.613], [-1.797, -4.698, 2.590], [3.540, -2.952, 3.282]],
  "species": ["Sn", "Ac", "Pr", "Ce"],
  "frac_coords": [[0.500, 0.500, 0.500], [0.000, 0.000, 0.000], [0.250, 0.250, 0.250], [0.750, 0.750, 0.750]],
  "mass_density_g_cm3": 8.13,
  "ef_ev_per_atom": -0.162,
  "space_group": "F-43m (216)"
}

Entry 3:
{
  "formula": "CsThTl2Cl8",
  "functional": "PBE",
  "state": "relaxed",
  "cell": [[-4.445, -3.514, -4.211], [4.620, -5.013, -0.740], [-3.682, -4.562, 7.673]],
  "species": ["Cs", "Cl", "Cl", "Tl", "Cl", "Cl", "Cl", "Th", "Tl", "Cl", "Cl", "Cl"],
  "frac_coords": [[0.000, 0.000, 0.500], [0.849, 0.228, 0.800], [0.307, 0.234, 0.000], [0.500, 0.499, 0.739], [0.602, 0.724, 0.500], [0.847, 0.227, 0.199], [0.693, 0.766, 0.000], [0.000, 0.000, 0.000], [0.500, 0.501, 0.261], [0.151, 0.772, 0.200], [0.398, 0.276, 0.500], [0.153, 0.773, 0.801]],
  "mass_density_g_cm3": 3.76,
  "formation_energy_uncorrected_kj_per_mol_fu": -1810,
  "space_group": "P-1 (2)"
}

Entry 4:
{
  "formula": "NiBN3",
  "functional": "PBE",
  "state": "relaxed",
  "cell": [[-0.845, 3.187, 0.296], [-3.076, -0.723, -0.988], [-0.886, -0.527, 3.146]],
  "species": ["B", "N", "N", "Ni", "N"],
  "frac_coords": [[0.000, 0.000, 0.000], [0.500, 0.000, 0.000], [0.000, 0.000, 0.500], [0.500, 0.500, 0.500], [0.000, 0.500, 0.000]],
  "mass_density_g_cm3": 5.10,
  "formation_energy_uncorrected_kj_per_mol_fu": 748,
  "space_group": "Pm-3m (221)"
}

Entry 5:
{
  "formula": "TmTh4Pb4",
  "functional": "PBE",
  "state": "relaxed",
  "cell": [[-0.324, 2.618, 5.818], [-9.320, -0.873, -0.127], [0.743, -8.494, 3.864]],
  "species": ["Pb", "Th", "Tm", "Pb", "Pb", "Pb", "Th", "Th", "Th", "Pb", "Th", "Th", "Th", "Th", "Pb", "Tm", "Pb", "Pb"],
  "frac_coords": [[0.135, 0.301, 0.390], [0.649, 0.164, 0.430], [0.000, 0.000, 0.000], [0.635, 0.890, 0.199], [0.365, 0.199, 0.110], [0.635, 0.110, 0.801], [0.351, 0.430, 0.836], [0.149, 0.930, 0.336], [0.649, 0.836, 0.570], [0.865, 0.390, 0.699], [0.851, 0.664, 0.930], [0.149, 0.070, 0.664], [0.351, 0.570, 0.164], [0.851, 0.336, 0.070], [0.135, 0.699, 0.610], [0.500, 0.500, 0.500], [0.865, 0.610, 0.301], [0.365, 0.801, 0.890]],
  "mass_density_g_cm3": 11.43,
  "ef_ev_per_atom": -0.101,
  "space_group": "P4_2/n (86)"
}

Entry 6:
{
  "formula": "Ce2PmTe",
  "functional": "PBE",
  "state": "relaxed",
  "cell": [[-0.797, -3.706, 1.815], [3.954, -0.156, 1.418], [-1.918, 3.205, 5.702]],
  "species": ["Ce", "Te", "Pm", "Ce"],
  "frac_coords": [[0.000, 0.000, 0.307], [0.500, 0.500, 0.500], [0.500, 0.500, 0.000], [0.000, 0.000, 0.693]],
  "polymorph_energy_kcal_per_mol_atoms": 0.00,
  "mass_density_g_cm3": 7.62,
  "formation_energy_uncorrected_kj_per_mol_fu": -212,
  "space_group": "P4/mmm (123)"
}

Entry 7:
{
  "formula": "Na3InGa",
  "functional": "PBE",
  "state": "relaxed",
  "cell": [[7.574, 0.090, -0.194], [-1.986, 7.309, 0.194], [-3.251, -3.354, 5.617]],
  "species": ["Ga", "In", "In", "Na", "Ga", "Na", "Na", "Na", "Na", "Na"],
  "frac_coords": [[0.372, 0.233, 0.606], [0.685, 0.079, 0.764], [0.315, 0.921, 0.236], [0.273, 0.553, 0.827], [0.628, 0.767, 0.394], [0.154, 0.978, 0.758], [0.727, 0.447, 0.173], [0.780, 0.603, 0.758], [0.220, 0.397, 0.242], [0.846, 0.022, 0.242]],
  "polymorph_energy_kcal_per_mol_atoms": 0.00,
  "mass_density_g_cm3": 2.71,
  "ef_ev_per_atom": -0.013,
  "space_group": "C2/m (12)"
}

Entry 8:
{
  "formula": "La2Sn2Ir",
  "functional": "PBE",
  "state": "relaxed",
  "cell": [[-5.645, -3.389, 2.956], [-2.649, -1.327, -6.581], [2.548, -4.370, -0.144]],
  "species": ["Sn", "Ir", "Sn", "La", "Sn", "La", "La", "Ir", "Sn", "La"],
  "frac_coords": [[0.357, 0.857, 0.000], [0.000, 0.000, 0.000], [0.643, 0.143, 0.000], [0.170, 0.670, 0.500], [0.857, 0.643, 0.000], [0.830, 0.330, 0.500], [0.670, 0.830, 0.500], [0.500, 0.500, 0.000], [0.143, 0.357, 0.000], [0.330, 0.170, 0.500]],
  "polymorph_energy_kcal_per_mol_atoms": 3.69,
  "mass_density_g_cm3": 8.91,
  "ef_ev_per_atom": -0.633,
  "space_group": "P4/mbm (127)"
}

Entry 9:
{
  "formula": "Ac2MnPt6Pb",
  "functional": "PBE",
  "state": "relaxed",
  "cell": [[6.923, -0.491, 1.293], [-0.368, 6.803, -1.127], [4.132, 2.298, 5.239]],
  "species": ["Pt", "Pt", "Pt", "Pt", "Pt", "Ac", "Pt", "Mn", "Pb", "Ac"],
  "frac_coords": [[0.755, 0.602, 0.154], [0.251, 0.242, 0.514], [0.243, 0.758, 0.991], [0.245, 0.398, 0.846], [0.749, 0.758, 0.486], [0.740, 0.201, 0.539], [0.757, 0.242, 0.009], [0.000, 0.000, 0.000], [0.500, 0.500, 0.000], [0.260, 0.799, 0.461]],
  "mass_density_g_cm3": 13.71,
  "ef_ev_per_atom": -0.647,
  "space_group": "C2/m (12)"
}

Entry 10:
{
  "formula": "Ba2CuMo",
  "functional": "PBE",
  "state": "relaxed",
  "cell": [[4.483, 0.000, 0.000], [0.000, 4.977, 0.003], [0.000, 2.483, 5.939]],
  "species": ["Cu", "Mo", "Ba", "Ba"],
  "frac_coords": [[0.000, 0.674, 0.527], [0.500, 0.583, 0.709], [0.000, 0.976, 0.924], [0.500, 0.267, 0.341]],
  "polymorph_energy_kcal_per_mol_atoms": 0.00,
  "mass_density_g_cm3": 5.44,
  "ef_ev_per_atom": 0.665,
  "space_group": "Amm2 (38)"
}

Entry 11:
{
  "formula": "PmEr3Al",
  "functional": "PBE",
  "state": "relaxed",
  "cell": [[-0.654, -8.640, -2.664], [4.228, 2.887, -6.666], [5.412, -1.205, 6.317]],
  "species": ["Al", "Al", "Er", "Er", "Er", "Er", "Pm", "Er", "Pm", "Pm", "Er", "Er", "Er", "Er", "Pm", "Al", "Er", "Er", "Er", "Al"],
  "frac_coords": [[0.250, 0.118, 0.882], [0.750, 0.259, 0.741], [0.579, 0.355, 0.041], [0.421, 0.645, 0.959], [0.715, 0.608, 0.731], [0.079, 0.041, 0.355], [0.585, 0.760, 0.389], [0.932, 0.184, 0.035], [0.085, 0.389, 0.760], [0.415, 0.240, 0.611], [0.068, 0.816, 0.965], [0.921, 0.959, 0.645], [0.785, 0.269, 0.392], [0.285, 0.392, 0.269], [0.915, 0.611, 0.240], [0.750, 0.882, 0.118], [0.432, 0.035, 0.184], [0.215, 0.731, 0.608], [0.568, 0.965, 0.816], [0.250, 0.741, 0.259]],
  "polymorph_energy_kcal_per_mol_atoms": 2.83,
  "mass_density_g_cm3": 7.57,
  "ef_ev_per_atom": -0.017,
  "space_group": "C2/c (15)"
}

Entry 12:
{
  "formula": "Ac2PmPt2",
  "functional": "PBE",
  "state": "relaxed",
  "cell": [[-1.730, -3.300, -2.011], [5.388, 0.506, -5.464], [6.431, -4.278, 5.946]],
  "species": ["Ac", "Pt", "Ac", "Pm", "Pt", "Pm", "Ac", "Pt", "Ac", "Pt"],
  "frac_coords": [[0.196, 0.531, 0.392], [0.187, 0.107, 0.373], [0.804, 0.031, 0.608], [0.619, 0.911, 0.238], [0.813, 0.607, 0.627], [0.381, 0.411, 0.762], [0.033, 0.258, 0.065], [0.444, 0.059, 0.888], [0.967, 0.758, 0.935], [0.556, 0.559, 0.112]],
  "polymorph_energy_kcal_per_mol_atoms": 0.48,
  "mass_density_g_cm3": 10.60,
  "ef_ev_per_atom": -0.875,
  "space_group": "Cmc2_1 (36)"
}

Entry 13:
{
  "formula": "CoCu2W",
  "functional": "PBE",
  "state": "relaxed",
  "cell": [[4.650, -0.015, 0.000], [1.895, 4.247, 0.000], [-3.273, -2.116, 2.538]],
  "species": ["Co", "W", "Cu", "Cu"],
  "frac_coords": [[0.750, 0.250, 0.500], [0.250, 0.750, 0.500], [0.000, 0.000, 0.000], [0.500, 0.500, 0.000]],
  "polymorph_energy_kcal_per_mol_atoms": 2.82,
  "mass_density_g_cm3": 12.24,
  "ef_ev_per_atom": 0.308,
  "space_group": "I4/mmm (139)"
}

Entry 14:
{
  "formula": "Mn3H3Pt",
  "functional": "PBE",
  "state": "relaxed",
  "cell": [[4.999, 0.000, 0.000], [2.499, 4.329, 0.000], [2.499, 1.443, 6.501]],
  "species": ["H", "Mn", "Mn", "Mn", "H", "H", "Pt", "Pt", "Mn", "H", "Mn", "H", "H", "Mn"],
  "frac_coords": [[0.866, 0.532, 0.405], [0.104, 0.772, 0.689], [0.565, 0.896, 0.311], [0.772, 0.435, 0.689], [0.197, 0.866, 0.405], [0.803, 0.134, 0.595], [0.666, 0.666, 0.001], [0.334, 0.334, 0.999], [0.896, 0.228, 0.311], [0.134, 0.468, 0.595], [0.228, 0.565, 0.311], [0.468, 0.803, 0.595], [0.532, 0.197, 0.405], [0.435, 0.104, 0.689]],
  "mass_density_g_cm3": 8.57,
  "space_group": "R-3 (148)",
  "e_tot_ry_per_atom": -0.4511
}

Entry 15:
{
  "formula": "Nb2VSCl",
  "functional": "PBE",
  "state": "relaxed",
  "cell": [[4.517, 0.000, 0.000], [0.000, 5.468, 0.000], [0.000, 0.000, 4.517]],
  "species": ["Nb", "Nb", "S", "Cl", "V"],
  "frac_coords": [[0.500, 0.000, 0.000], [0.000, 0.000, 0.500], [0.000, 0.000, 0.000], [0.000, 0.500, 0.000], [0.500, 0.500, 0.500]],
  "mass_density_g_cm3": 4.53,
  "formation_energy_uncorrected_kj_per_mol_fu": 495,
  "space_group": "P4/mmm (123)"
}

Entry 16:
{
  "formula": "Y3HoEr3",
  "functional": "PBE",
  "state": "relaxed",
  "cell": [[5.855, 0.000, 1.881], [2.625, 5.233, 1.881], [-1.408, -0.869, 14.430]],
  "species": ["Y", "Er", "Y", "Ho", "Y", "Y", "Ho", "Y", "Er", "Er", "Er", "Er", "Y", "Er"],
  "frac_coords": [[0.599, 0.933, 0.200], [0.134, 0.465, 0.600], [0.401, 0.067, 0.800], [0.667, 0.667, 0.000], [0.067, 0.733, 0.800], [0.933, 0.267, 0.200], [0.333, 0.333, 0.000], [0.733, 0.401, 0.800], [0.198, 0.866, 0.400], [0.802, 0.134, 0.600], [0.465, 0.802, 0.600], [0.535, 0.198, 0.400], [0.267, 0.599, 0.200], [0.866, 0.535, 0.400]],
  "polymorph_energy_kcal_per_mol_atoms": 0.00,
  "mass_density_g_cm3": 6.72,
  "ef_ev_per_atom": 0.143,
  "space_group": "R-3 (148)"
}

Entry 17:
{
  "formula": "IrPbN3",
  "functional": "PBE",
  "state": "relaxed",
  "cell": [[4.170, 0.000, 0.000], [0.000, 4.170, 0.000], [0.000, 0.000, 4.170]],
  "species": ["Ir", "N", "N", "Pb", "N"],
  "frac_coords": [[0.500, 0.500, 0.500], [0.500, 0.000, 0.000], [0.000, 0.000, 0.500], [0.000, 0.000, 0.000], [0.000, 0.500, 0.000]],
  "mass_density_g_cm3": 10.11,
  "formation_energy_uncorrected_kj_per_mol_fu": 1440,
  "space_group": "Pm-3m (221)"
}

Entry 18:
{
  "formula": "Y2TcBr",
  "functional": "PBE",
  "state": "relaxed",
  "cell": [[-4.800, 0.682, -3.912], [-3.558, -4.649, -2.128], [2.401, 2.319, 5.259]],
  "species": ["Br", "Y", "Tc", "Y"],
  "frac_coords": [[0.500, 0.500, 0.000], [0.250, 0.750, 0.500], [0.750, 0.250, 0.500], [0.000, 0.000, 0.000]],
  "polymorph_energy_kcal_per_mol_atoms": 14.67,
  "mass_density_g_cm3": 6.45,
  "formation_energy_uncorrected_kj_per_mol_fu": 18,
  "space_group": "I-4m2 (119)"
}

Entry 19:
{
  "formula": "BaNbTeOs2",
  "functional": "PBE",
  "state": "relaxed",
  "cell": [[-1.493, -0.419, -4.703], [4.540, -3.479, -1.132], [-2.725, -3.952, 1.217]],
  "species": ["Os", "Os", "Te", "Ba", "Nb"],
  "frac_coords": [[0.000, 0.000, 0.500], [0.500, 0.000, 0.000], [0.000, 0.500, 0.000], [0.000, 0.000, 0.000], [0.500, 0.500, 0.500]],
  "mass_density_g_cm3": 8.57,
  "formation_energy_uncorrected_kj_per_mol_fu": 1533,
  "space_group": "P4/mmm (123)"
}

Entry 20:
{
  "formula": "CaEr2In",
  "functional": "PBE",
  "state": "relaxed",
  "cell": [[-1.465, -0.032, -4.581], [3.742, -2.941, -1.177], [-2.793, -3.923, 0.921]],
  "species": ["In", "Er", "Ca", "Er"],
  "frac_coords": [[0.500, 0.000, 0.000], [0.000, 0.500, 0.000], [0.500, 0.500, 0.500], [0.000, 0.000, 0.500]],
  "polymorph_energy_kcal_per_mol_atoms": 0.00,
  "mass_density_g_cm3": 7.03,
  "ef_ev_per_atom": -0.192,
  "space_group": "P4/mmm (123)"
}